# 1
TbCe3Er2As6 | PBE | relaxed

Summary:
As for the total energy: -6.43 eV per atom. For the volume, the calculation gives 25.43 Å³ per atom. The formation energy is -1475 meV per atom. The magnetization comes out at 1.939 Bohr magnetons per cell. Its crystal system is monoclinic.

Cell: 7.2090 7.2090 7.1926 Å, 99.62 99.62 120.00°
Closest atoms and distances in Å follow each position.
Positions (direct):
1 As 0.9184 0.5831 0.7554  2 Er 2.91, 1 Tb 2.93, 3 Ce 2.95-2.97
2 As 0.4169 0.0816 0.2446  2 Er 2.91, 1 Tb 2.93, 3 Ce 2.95-2.97
3 Ce 0.1662 0.8338 0.5000  6 As 2.95-2.97
4 As 0.2540 0.2540 0.7559  2 Er 2.91, 1 Tb 2.93, 3 Ce 2.95-2.97
5 As 0.5831 0.9184 0.7554  2 Er 2.91, 1 Tb 2.93, 3 Ce 2.95-2.97
6 As 0.0816 0.4169 0.2446  2 Er 2.91, 1 Tb 2.93, 3 Ce 2.95-2.97
7 As 0.7460 0.7460 0.2441  2 Er 2.91, 1 Tb 2.93, 3 Ce 2.95-2.97
8 Ce 0.5000 0.5000 0.5000  6 As 2.95-2.97
9 Er 0.6668 0.3332 0.0000  6 As 2.91
10 Er 0.3332 0.6668 0.0000  6 As 2.91
11 Ce 0.8338 0.1662 0.5000  6 As 2.95-2.97
12 Tb 0.0000 0.0000 0.0000  6 As 2.93

# 2
Ce2Er3ThAs6 | PBE | relaxed

Summary:
As for the total energy: -6.55 eV per atom. For the volume, the calculation gives 25.43 Å³ per atom. The formation energy is -1472 meV per atom. The magnetization comes out at 1.506 Bohr magnetons per cell. Its crystal system is monoclinic.

Cell: 4.1653 8.3053 9.2897 Å, 102.64 102.96 90.00°
Closest atoms and distances in Å follow each position.
Positions (direct):
1 As 0.3353 0.4124 0.6706  3 Er 2.91, 3 Ce 2.96-2.97
2 Er 0.5000 0.5000 0.0000  6 As 2.90-2.91
3 Er 0.1669 0.8329 0.3337  6 As 2.90-2.92
4 As 0.3313 0.9208 0.6625  3 Er 2.90-2.91, 2 Ce 2.98, 1 Th 2.98
5 As 0.0016 0.7441 0.0031  3 Er 2.90-2.92, 2 Th 2.98, 1 Ce 2.98
6 Er 0.8331 0.1671 0.6663  6 As 2.90-2.92
7 Th 0.5000 0.0000 0.0000  6 As 2.98
8 As 0.6687 0.0792 0.3375  3 Er 2.90-2.91, 2 Ce 2.98, 1 Th 2.98
9 Ce 0.1674 0.3345 0.3348  6 As 2.96-2.98
10 Ce 0.8326 0.6655 0.6652  6 As 2.96-2.98
11 As 0.9984 0.2559 0.9969  3 Er 2.90-2.92, 2 Th 2.98, 1 Ce 2.98
12 As 0.6647 0.5876 0.3294  3 Er 2.91, 3 Ce 2.96-2.97

# 3
CeEr3Th2As6 | PBE | relaxed

Summary:
As for the total energy: -6.66 eV per atom. For the volume, the calculation gives 25.54 Å³ per atom. The formation energy is -1467 meV per atom. The magnetization comes out at 0.788 Bohr magnetons per cell. Its crystal system is monoclinic.

Cell: 4.1751 8.3057 9.3034 Å, 102.56 102.97 90.00°
Closest atoms and distances in Å follow each position.
Positions (direct):
1 As 0.6645 0.5892 0.3290  3 Er 2.91, 3 Th 2.99-3.00
2 As 0.3313 0.9226 0.6626  3 Er 2.90-2.92, 2 Th 2.98, 1 Ce 2.98
3 Er 0.5000 0.5000 0.0000  6 As 2.91
4 Th 0.1660 0.3323 0.3320  6 As 2.97-3.00
5 Er 0.1663 0.8334 0.3327  6 As 2.90-2.92
6 Th 0.8340 0.6677 0.6680  6 As 2.97-3.00
7 As 0.3355 0.4108 0.6710  3 Er 2.91, 3 Th 2.99-3.00
8 Ce 0.5000 0.0000 0.0000  6 As 2.98
9 As 0.0022 0.7456 0.0045  3 Er 2.90-2.91, 1 Th 2.97, 2 Ce 2.98
10 As 0.9978 0.2544 0.9955  3 Er 2.90-2.91, 1 Th 2.97, 2 Ce 2.98
11 As 0.6687 0.0774 0.3374  3 Er 2.90-2.92, 2 Th 2.98, 1 Ce 2.98
12 Er 0.8337 0.1666 0.6673  6 As 2.90-2.92

Question: Number 3 is which compound?
Answer: CeEr3Th2As6

Question: Which value of magnetization does entry 3 give?
Answer: 0.788 Bohr magnetons per cell

Question: The highest magnetization belongs to which entry?
Answer: TbCe3Er2As6